VASP calculation (PBE-GGA) on GePb2S4 after structural relaxation.

a = 7.0507 Å, b = 7.0507 Å, c = 6.1414 Å
α = 122.36°, β = 102.68°, γ = 110.03°
Last column: nearest neighbours and their distance in Å.
Positions (direct):
Pb  0.1732  0.6829  0.3320  4 S 2.82-2.92
Pb  0.6491  0.1587  0.3320  4 S 2.82-2.92
S  0.7847  0.1341  0.9189  1 Ge 2.30
S  0.3841  0.3922  0.3040  1 Ge 2.20
S  0.0637  0.6833  0.7470  1 Ge 2.29
S  0.9118  0.9199  0.3040  1 Ge 2.20
Ge  0.0334  0.0292  0.0626  4 S 2.20-2.30

Values from the calculation:
Total moment: 0.00 Bohr magnetons per cell
E_form (uncorrected): -0.4013 eV/atom
DFT total energy: -31.35 eV for the cell shown